# 1
Computed, not measured: a geometry-optimized RbSr2SnIr structure at the PBE level of DFT.

Values from the calculation:
* VASP energy: -3.643 eV/atom
* ΔH_f (0 K): -20 kJ per mole of atoms
* M_tot: 0.53 Bohr magnetons per cell

Structure (POSCAR):
```
RbSr2SnIr
1.0
5.995 0.000 0.000
0.000 5.995 0.000
0.000 0.000 5.223
Sr Ir Sn Rb
2 1 1 1
Cartesian
0.000 2.997 0.000
2.997 0.000 0.000
0.000 0.000 0.000
0.000 0.000 2.611
2.997 2.997 2.611
```

=====

# 2
Computed, not measured: a geometry-optimized Ac8Pt5Au structure at the PBE level of DFT.

Values from the calculation:
* VASP energy: -5.695 eV/atom
* ΔH_f (0 K): -92 kJ per mole of atoms
* M_tot: 0.00 Bohr magnetons per cell

Structure (POSCAR):
```
Ac8Pt5Au
1.0
7.793 0.000 -2.798
-3.832 6.809 -2.740
-0.129 0.000 8.279
Ac Pt Au
8 5 1
Cartesian
-2.090 5.142 5.820
-0.530 0.860 5.943
4.717 1.678 0.372
3.391 2.441 4.487
1.510 4.368 -0.982
1.492 5.949 3.116
0.871 1.667 1.680
-1.955 5.131 1.603
-1.386 2.659 -0.086
3.372 6.073 -2.691
3.302 4.150 1.457
3.832 0.000 2.740
2.376 0.736 6.801
-0.064 3.405 4.139
```

=====

# 3
Computed, not measured: a geometry-optimized AcTlZnO3 structure at the PBE level of DFT.

Values from the calculation:
* VASP energy: -5.621 eV/atom
* uncorrected formation energy: -1.8507 eV per atom
* M_tot: 0.00 Bohr magnetons per cell

Structure (POSCAR):
```
AcTlZnO3
1.0
4.105 0.000 0.000
-2.052 6.899 -0.554
0.000 -2.602 8.149
Ac Tl Zn O
2 2 2 6
Cartesian
2.052 0.684 4.684
0.000 3.612 2.912
0.000 2.469 7.715
2.052 1.828 -0.120
0.000 -0.680 2.396
2.052 4.976 5.200
2.052 4.314 1.126
2.052 3.197 4.289
2.052 -0.843 2.689
0.000 1.100 3.307
0.000 5.140 4.906
0.000 -0.017 6.469
```

=====

# 4
Computed, not measured: a geometry-optimized Sc6IrPt2 structure at the PBE level of DFT.

Values from the calculation:
* VASP energy: -7.363 eV/atom
* ΔH_f (0 K): -79 kJ per mole of atoms
* M_tot: 0.00 Bohr magnetons per cell

Structure (POSCAR):
```
Sc6IrPt2
1.0
4.558 0.000 0.000
-2.279 3.947 0.000
0.000 0.000 11.088
Sc Ir Pt
6 1 2
Cartesian
0.000 0.000 2.718
0.000 2.632 10.211
2.279 1.316 6.481
2.279 1.316 0.877
0.000 0.000 8.370
0.000 2.632 4.607
0.000 0.000 0.000
0.000 2.632 7.393
2.279 1.316 3.696
```